Compound: BeTcRu2
Source: the Alexandria database
Functional: PBEsol
Structure: optimized geometry

Cell lengths 2.6642, 3.8229, 5.0102 Å; angles 90.00, 103.62, 90.00 degrees
Closest atoms and distances in Å follow each position.
Space group P2/m (No. 10)
Inequivalent atoms, fractional coordinates:
Be 0.0000 0.0000 0.0000 (multiplicity 1)  4 Ru 2.34, 2 Tc 2.51
Tc 0.0000 0.0000 0.5000 (multiplicity 1)  2 Be 2.51, 2 Tc 2.66, 8 Ru 2.66-2.68
Ru 0.3874 0.5000 0.2307 (multiplicity 2)  2 Be 2.34, 2 Ru 2.52-2.62

E_form = 40 meV/atom
calculated volume = 50 Å³/cell
DOS at the Fermi energy = 0.758 states/eV per atom

=====

Compound: BeTcRu
Source: the Alexandria database
Functional: PBEsol
Structure: optimized geometry

Cell lengths 2.7986, 2.7986, 8.9299 Å; angles 90.00, 90.00, 90.00 degrees
Closest atoms and distances in Å follow each position.
Space group I4mm (No. 107)
Inequivalent atoms, fractional coordinates:
Be 0.0000 0.0000 0.0000 (multiplicity 2)  4 Ru 2.39, 4 Tc 2.47
Tc 0.0000 0.0000 0.3342 (multiplicity 2)  4 Be 2.47, 4 Ru 2.57
Ru 0.0000 0.0000 0.6506 (multiplicity 2)  4 Be 2.39, 4 Tc 2.57

distance to the lowest polymorph of the same formula = 0.0 meV per atom
E_form = -222 meV/atom
calculated volume = 70 Å³/cell
DOS at the Fermi energy = 0.401 states/eV per atom

=====

Compound: BeTcRu
Source: the Alexandria database
Functional: PBEsol
Structure: optimized geometry

Cell lengths 5.5662, 5.5662, 5.5662 Å; angles 90.00, 90.00, 90.00 degrees
Closest atoms and distances in Å follow each position.
Space group F-43m (No. 216)
Inequivalent atoms, fractional coordinates:
Be 0.0000 0.0000 0.0000 (multiplicity 4)  4 Tc 2.41
Tc 0.2500 0.2500 0.2500 (multiplicity 4)  4 Ru 2.41, 4 Be 2.41
Ru 0.0000 0.0000 0.5000 (multiplicity 4)  4 Tc 2.41

distance to the lowest polymorph of the same formula = 775.0 meV per atom
E_form = 553 meV/atom
calculated volume = 172 Å³/cell
DOS at the Fermi energy = 0.836 states/eV per atom